Density functional theory data (PBE-GGA) for a geometry-optimized Sc2B2Rh structure.

POSCAR file:
```
Sc2B2Rh
1.0
-2.407 3.164 -4.586
2.778 -3.648 -3.976
-2.780 -2.116 -0.001
Sc B Rh
4 4 2
Direct
0.182 0.682 0.500
0.682 0.818 0.500
0.818 0.318 0.500
0.318 0.182 0.500
0.398 0.898 0.000
0.898 0.602 0.000
0.602 0.102 0.000
0.102 0.398 0.000
0.000 0.000 0.000
0.500 0.500 0.000
```

Computed properties:
Formation energy   -727.9 meV per atom


Density functional theory data (PBE-GGA) for a geometry-optimized RbNaPrCl5 structure.

POSCAR file:
```
RbNaPrCl5
1.0
-7.838 -0.191 1.476
4.049 -1.863 6.616
1.888 10.320 -1.008
Rb Na Pr Cl
2 2 2 10
Direct
0.340 0.660 0.250
0.660 0.340 0.750
0.686 0.314 0.250
0.314 0.686 0.750
0.000 0.000 0.500
0.000 0.000 0.000
0.075 0.925 0.250
0.925 0.075 0.750
0.912 0.299 0.097
0.088 0.701 0.903
0.701 0.088 0.403
0.299 0.912 0.597
0.742 0.636 0.433
0.258 0.364 0.567
0.364 0.258 0.067
0.636 0.742 0.933
```


Density functional theory data (PBE-GGA) for a geometry-optimized Ca5Bi structure.

POSCAR file:
```
Ca5Bi
1.0
-2.635 1.233 4.468
3.318 -2.521 2.652
2.881 8.074 -0.529
Ca Bi
5 1
Direct
0.500 0.833 0.666
0.000 0.654 0.308
0.500 0.500 0.000
0.000 0.346 0.692
0.500 0.167 0.334
0.000 0.000 0.000
```

Computed properties:
Formation energy   -303.9 meV per atom


Density functional theory data (PBE-GGA) for a geometry-optimized MnBe2In structure.

POSCAR file:
```
MnBe2In
1.0
-3.418 -1.342 3.191
0.939 -3.315 -3.434
1.195 -1.995 1.380
Be Mn In
2 1 1
Direct
0.000 0.000 0.000
0.500 0.500 0.000
0.000 0.500 0.500
0.500 0.000 0.500
```

Computed properties:
Formation energy   482.9 meV per atom


Density functional theory data (PBE-GGA) for a geometry-optimized TbDyGaTc structure.

POSCAR file:
```
TbDyGaTc
1.0
4.961 0.000 0.000
2.480 4.296 0.000
2.480 1.432 4.050
Tb Tc Ga Dy
1 1 1 1
Direct
0.000 0.000 0.000
0.750 0.750 0.750
0.250 0.250 0.250
0.500 0.500 0.500
```

Computed properties:
Formation energy   -227.5 meV per atom


Density functional theory data (PBE-GGA) for a geometry-optimized Sr2AsIr structure.

POSCAR file:
```
Sr2AsIr
1.0
-1.225 -6.104 -3.790
4.307 -3.386 -1.639
-2.405 3.821 5.724
Sr As Ir
2 1 1
Direct
0.021 0.167 0.145
0.730 0.084 0.354
0.422 0.470 0.048
0.327 0.779 0.453
```

Computed properties:
Formation energy   -636.1 meV per atom


Density functional theory data (PBE-GGA) for a geometry-optimized HoIn6Pb structure.

POSCAR file:
```
HoIn6Pb
1.0
4.564 0.000 0.000
0.000 6.828 -0.043
0.000 0.044 6.828
Ho In Pb
1 6 1
Direct
0.500 0.000 0.000
0.000 0.753 0.247
0.000 0.247 0.753
0.000 0.753 0.753
0.000 0.247 0.247
0.500 0.500 0.000
0.500 0.000 0.500
0.500 0.500 0.500
```

Computed properties:
Formation energy   -125.7 meV per atom


Density functional theory data (PBE-GGA) for a geometry-optimized OsRu2Au structure.

POSCAR file:
```
OsRu2Au
1.0
-1.069 3.138 4.525
2.927 -0.436 4.765
-0.370 1.136 -5.480
Au Os Ru
1 1 2
Direct
0.506 0.506 0.000
0.777 0.277 0.500
0.995 0.995 0.000
0.222 0.722 0.500
```

Computed properties:
Formation energy   559.4 meV per atom


Density functional theory data (PBE-GGA) for a geometry-optimized PuUSnPd structure.

POSCAR file:
```
PuUSnPd
1.0
5.001 0.000 0.000
2.500 4.331 0.000
2.500 1.444 4.083
U Sn Pd Pu
1 1 1 1
Direct
0.750 0.750 0.750
0.250 0.250 0.250
0.000 0.000 0.000
0.500 0.500 0.500
```

Computed properties:
Formation energy   -201.7 meV per atom


Density functional theory data (PBE-GGA) for a geometry-optimized Cr2CuMo structure.

POSCAR file:
```
Cr2CuMo
1.0
-3.041 0.477 -5.897
-3.029 -5.821 1.091
-5.019 -1.429 -1.280
Cr Mo Cu
4 2 2
Direct
0.628 0.125 0.250
0.122 0.625 0.250
0.375 0.372 0.750
0.875 0.878 0.750
0.000 0.000 0.000
0.750 0.250 0.500
0.500 0.500 0.000
0.250 0.750 0.500
```

Computed properties:
Formation energy   854.9 meV per atom


Density functional theory data (PBE-GGA) for a geometry-optimized ZrAgB structure.

POSCAR file:
```
ZrAgB
1.0
10.485 0.001 0.000
0.000 3.191 0.000
0.000 -1.596 2.764
B Zr Ag
2 2 2
Direct
0.150 0.155 0.881
0.151 0.822 0.214
0.313 0.489 0.548
0.987 0.489 0.548
0.758 0.822 0.215
0.542 0.156 0.882
```

Computed properties:
Formation energy   -466.9 meV per atom


Density functional theory data (PBE-GGA) for a geometry-optimized TaAgAs2 structure.

POSCAR file:
```
TaAgAs2
1.0
-1.374 2.097 -1.370
-1.312 0.089 2.536
6.868 6.666 3.319
As Ag Ta
2 1 1
Direct
0.000 0.000 0.948
0.500 0.500 0.311
0.500 0.500 0.731
0.000 0.000 0.510
```

Computed properties:
Formation energy   142.1 meV per atom


Density functional theory data (PBE-GGA) for a geometry-optimized PrBe2Si2 structure.

POSCAR file:
```
PrBe2Si2
1.0
5.209 0.000 2.232
2.604 5.028 1.117
0.382 0.000 6.300
Pr Be Si
2 4 4
Direct
0.875 0.750 0.250
0.125 0.250 0.750
0.474 0.750 0.052
0.724 0.250 0.552
0.526 0.250 0.948
0.276 0.750 0.448
0.572 0.355 0.250
0.822 0.855 0.750
0.178 0.145 0.250
0.428 0.645 0.750
```


Density functional theory data (PBE-GGA) for a geometry-optimized InH3I structure.

POSCAR file:
```
InH3I
1.0
-2.966 -2.112 -1.997
1.554 -3.563 1.460
-2.456 0.295 3.335
I H In
1 3 1
Direct
0.500 0.500 0.500
0.000 0.500 0.000
0.000 0.000 0.500
0.500 0.000 0.000
0.000 0.000 0.000
```


Density functional theory data (PBE-GGA) for a geometry-optimized Tb2Pm2H structure.

POSCAR file:
```
Tb2Pm2H
1.0
5.080 0.000 0.000
0.000 5.064 0.000
0.000 0.000 5.064
Tb Pm H
2 2 1
Direct
0.000 0.000 0.500
0.000 0.500 0.000
0.500 0.500 0.500
0.500 0.000 0.000
0.000 0.000 0.000
```


Density functional theory data (PBE-GGA) for a geometry-optimized Co2P2W structure.

POSCAR file:
```
Co2P2W
1.0
6.596 0.000 0.000
0.000 6.596 0.000
0.000 0.000 2.709
P Co W
4 4 2
Direct
0.347 0.847 0.000
0.847 0.653 0.000
0.653 0.153 0.000
0.153 0.347 0.000
0.140 0.640 0.500
0.640 0.860 0.500
0.860 0.360 0.500
0.360 0.140 0.500
0.000 0.000 0.000
0.500 0.500 0.000
```

Computed properties:
Formation energy   -235.3 meV per atom


Density functional theory data (PBE-GGA) for a geometry-optimized CaNi2GeMo structure.

POSCAR file:
```
CaNi2GeMo
1.0
4.468 0.000 0.000
0.000 4.756 0.000
0.000 0.000 4.468
Ni Mo Ca Ge
2 1 1 1
Direct
0.000 0.000 0.500
0.500 0.000 0.000
0.000 0.500 0.000
0.500 0.500 0.500
0.000 0.000 0.000
```

Computed properties:
Formation energy   445.0 meV per atom


Density functional theory data (PBE-GGA) for a geometry-optimized CsRb2Sn2Cl7 structure.

POSCAR file:
```
CsRb2Sn2Cl7
1.0
-0.530 -2.458 5.031
-3.314 -3.937 -2.269
9.258 -11.080 -1.286
Cs Rb Sn Cl
1 2 2 7
Direct
0.000 0.000 0.000
0.806 0.806 0.363
0.194 0.194 0.637
0.606 0.606 0.792
0.394 0.394 0.208
0.500 0.500 0.000
0.306 0.306 0.404
0.694 0.694 0.596
0.893 0.390 0.207
0.390 0.893 0.207
0.610 0.107 0.793
0.107 0.610 0.793
```


Density functional theory data (PBE-GGA) for a geometry-optimized LiCd5Au structure.

POSCAR file:
```
LiCd5Au
1.0
5.084 0.000 0.000
0.000 7.774 0.000
-2.542 -3.887 5.259
Li Cd Au
1 5 1
Direct
0.655 0.500 0.000
0.207 0.257 0.514
0.146 0.500 0.000
0.693 0.743 0.486
0.444 0.182 0.000
0.444 0.818 0.000
0.941 0.000 0.000
```

Computed properties:
Formation energy   148.0 meV per atom


Density functional theory data (PBE-GGA) for a geometry-optimized Cs2Ga2SnSb4 structure.

POSCAR file:
```
Cs2Ga2SnSb4
1.0
4.177 0.000 0.000
-2.088 8.713 0.094
0.000 -2.929 8.820
Cs Ga Sn Sb
2 2 1 4
Direct
0.865 0.729 0.453
0.135 0.271 0.547
0.328 0.656 0.041
0.672 0.344 0.959
0.000 0.000 0.000
0.803 0.607 0.840
0.197 0.393 0.160
0.481 0.962 0.226
0.519 0.038 0.774
```


Number 1: electronic total energy -7.4018 eV per atom. Number 2: electronic total energy -4.1152 eV per atom. Number 3: electronic total energy -2.6187 eV per atom. Number 4: electronic total energy -4.3572 eV per atom. Number 5: electronic total energy -5.8838 eV per atom. Number 6: electronic total energy -4.8546 eV per atom. Number 7: electronic total energy -3.2153 eV per atom. Number 8: electronic total energy -7.7053 eV per atom. Number 9: electronic total energy -8.9056 eV per atom. Number 10: electronic total energy -7.6886 eV per atom. Number 11: electronic total energy -6.4926 eV per atom. Number 12: electronic total energy -5.8586 eV per atom. Number 13: electronic total energy -4.8984 eV per atom. Number 14: electronic total energy -2.2874 eV per atom. Number 15: electronic total energy -4.5953 eV per atom. Number 16: electronic total energy -7.8323 eV per atom. Number 17: electronic total energy -5.3575 eV per atom. Number 18: electronic total energy -3.4849 eV per atom. Number 19: electronic total energy -1.2472 eV per atom. Number 20: electronic total energy -3.3548 eV per atom.